# Cd3Si (GGA-PBE, optimized geometry)
data_Cd3Si
_cell_length_a 6.640
_cell_length_b 15.505
_cell_length_c 3.793
_cell_angle_alpha 90.00
_cell_angle_beta 90.00
_cell_angle_gamma 90.00
_space_group_name_H-M_alt 'C m c m'
_space_group_IT_number 63
_space_group_name_Hall '-C 2c 2'
loop_
_atom_site_label
_atom_site_type_symbol
_atom_site_fract_x
_atom_site_fract_y
_atom_site_fract_z
Cd1 Cd 0.000 0.072 0.250
Cd2 Cd 0.248 0.321 0.250
Si1 Si 0.000 0.458 0.250
# Raw total energy, eV per cell: -29.32
# Size of the total moment, μB/cell: 0.0
# E_form (uncorrected), eV/atom: 0.2097

# NiPbBr2 (GGA-PBE, optimized geometry)
data_NiPbBr2
_cell_length_a 7.289
_cell_length_b 7.289
_cell_length_c 7.289
_cell_angle_alpha 90.00
_cell_angle_beta 90.00
_cell_angle_gamma 90.00
_space_group_name_H-M_alt 'F m -3 m'
_space_group_IT_number 225
_space_group_name_Hall '-F 4 2 3'
loop_
_atom_site_label
_atom_site_type_symbol
_atom_site_fract_x
_atom_site_fract_y
_atom_site_fract_z
Ni1 Ni 0.000 0.000 0.000
Pb1 Pb 0.000 0.000 0.500
Br1 Br 0.250 0.250 0.250
# Raw total energy, eV per cell: -48.46
# Size of the total moment, μB/cell: 1.0
# E_form (uncorrected), eV/atom: 0.1804